meta-GGA SCAN Na2SrMnPt, single point on PBEsol structure; DFT formation energy = 0.183 eV/atom; total magnetic moment = 5.232 μB per cell
1.0
5.388 0.000 0.000
0.000 5.388 0.000
0.000 0.000 5.629
Na Sr Mn Pt
2 1 1 1
direct
0.000 0.500 0.000
0.500 0.000 0.000
0.000 0.000 0.500
0.500 0.500 0.500
0.000 0.000 0.000



meta-GGA SCAN In2WSe, single point on PBEsol structure; total magnetic moment = 0.000 μB per cell; formation energy (no corrections) = 409 meV/atom
1.0
1.619 -2.582 0.000
1.619 2.582 0.000
0.000 0.000 10.153
In W Se
2 1 1
direct
0.000 0.000 0.000
0.500 0.500 0.271
0.500 0.500 0.764
0.000 0.000 0.581



meta-GGA SCAN Cr2IrCl, single point on PBEsol structure; total magnetic moment = 0.002 μB per cell; formation energy (no corrections) = 556 meV/atom
1.0
4.359 0.000 0.000
0.000 4.359 0.000
0.000 0.000 2.689
Cr Ir Cl
2 1 1
direct
0.000 0.500 0.000
0.500 0.000 0.000
0.000 0.000 0.500
0.500 0.500 0.500



meta-GGA SCAN Cd2PRh, single point on PBEsol structure; DFT formation energy = 0.118 eV/atom; total magnetic moment = 0.000 μB per cell
1.0
4.024 0.000 0.000
0.000 4.024 0.000
0.000 0.000 4.062
Cd P Rh
2 1 1
direct
0.000 0.500 0.000
0.500 0.000 0.000
0.000 0.000 0.500
0.500 0.500 0.500



meta-GGA SCAN MnCd2Se, single point on PBEsol structure; total magnetic moment = 2.655 μB per cell; formation energy (no corrections) = 15 meV/atom
1.0
2.929 0.000 0.000
0.000 2.929 0.000
0.000 0.000 8.382
Mn Cd Se
1 2 1
direct
0.000 0.000 0.000
0.000 0.000 0.482
0.500 0.500 0.769
0.500 0.500 0.143



meta-GGA SCAN CrMo2, single point on PBEsol structure; DFT formation energy = 0.076 eV/atom; total magnetic moment = 0.001 μB per cell
1.0
-1.519 1.519 4.541
1.519 -1.519 4.541
1.519 1.519 -4.541
Cr Mo
1 2
direct
0.000 0.000 0.000
0.338 0.338 0.000
0.662 0.662 0.000



meta-GGA SCAN Be2Co, single point on PBEsol structure; DFT formation energy = -0.213 eV/atom; total magnetic moment = 0.829 μB per cell
1.0
-1.610 1.610 9.646
1.610 -1.610 9.646
1.610 1.610 -9.646
Be Co
8 4
direct
0.124 0.374 0.750
0.288 0.538 0.750
0.374 0.124 0.250
0.462 0.712 0.750
0.538 0.288 0.250
0.626 0.876 0.750
0.712 0.462 0.250
0.876 0.626 0.250
0.052 0.802 0.250
0.198 0.948 0.250
0.802 0.052 0.750
0.948 0.198 0.750



meta-GGA SCAN La2Hg, single point on PBEsol structure; DFT formation energy = -0.549 eV/atom; total magnetic moment = 0.000 μB per cell
1.0
6.869 0.000 0.000
0.000 5.332 0.000
0.000 0.000 9.747
La Hg
8 4
direct
0.012 0.250 0.192
0.209 0.250 0.572
0.291 0.750 0.072
0.488 0.750 0.692
0.512 0.250 0.308
0.709 0.250 0.928
0.791 0.750 0.428
0.988 0.750 0.808
0.241 0.250 0.894
0.259 0.750 0.394
0.741 0.250 0.606
0.759 0.750 0.106



meta-GGA SCAN KTcRu2, single point on PBEsol structure; DFT formation energy = 1.566 eV/atom; total magnetic moment = 0.482 μB per cell
1.0
2.726 0.000 0.000
0.000 4.738 0.000
0.000 0.000 4.848
K Tc Ru
1 1 2
direct
0.000 0.000 0.000
0.500 0.000 0.500
0.000 0.500 0.500
0.500 0.500 0.000



meta-GGA SCAN NiTeRh2, single point on PBEsol structure; total magnetic moment = 0.832 μB per cell; formation energy (no corrections) = 165 meV/atom
1.0
2.964 0.000 0.000
0.000 4.429 0.000
-0.157 0.000 4.555
Ni Te Rh
1 1 2
direct
0.000 0.000 0.000
0.500 0.000 0.500
0.248 0.500 0.759
0.752 0.500 0.241



meta-GGA SCAN Sr2TaTl, single point on PBEsol structure; DFT formation energy = 0.542 eV/atom; total magnetic moment = 0.333 μB per cell
1.0
3.272 0.000 0.000
0.000 3.272 0.000
0.000 0.000 10.280
Sr Ta Tl
2 1 1
direct
0.000 0.000 0.246
0.000 0.000 0.754
0.500 0.500 0.000
0.500 0.500 0.500



meta-GGA SCAN CdAg2Sb, single point on PBEsol structure; total magnetic moment = 0.000 μB per cell; formation energy (no corrections) = 86 meV/atom
1.0
4.976 -1.547 0.000
4.976 1.547 0.000
-0.922 0.000 5.179
Cd Ag Sb
1 2 1
direct
0.000 0.000 0.000
0.482 0.482 0.462
0.747 0.747 0.206
0.233 0.233 0.690